CsCrGaF6: relaxed, GGA+U.

Computed properties:
- Density: 4.07 g/cm³
- DFT total energy: -47.09 eV per formula unit
- Total moment: 4.0 μB per formula unit
- DOS(E_F): 0.00 states/eV/f.u.

Structure (POSCAR):
```
CsCrGaF6
1.0
7.377 0.000 0.000
0.000 7.631 0.000
-3.689 -3.816 5.348
Cs Cr Ga F
2 2 2 12
Cartesian
3.689 1.908 3.953 Cs
0.000 1.908 1.394 Cs
1.844 -1.908 2.674 Cr
-1.844 -1.908 2.674 Cr
3.689 3.816 0.000 Ga
3.689 0.000 0.000 Ga
0.000 1.908 4.876 F
3.689 -1.908 3.484 F
5.043 -0.255 1.313 F
2.334 4.070 1.313 F
2.334 -0.255 1.313 F
5.043 4.070 1.313 F
3.689 1.908 0.472 F
0.000 5.723 1.863 F
-1.355 4.070 4.035 F
1.355 -0.255 4.035 F
1.355 4.070 4.035 F
-1.355 -0.255 4.035 F
```